A relaxed structure of Er2Cu3Au. Source: Alexandria via LeMat-Bulk, functional PBE-GGA.

Cell: 8.7085 8.3342 5.5515 Å, 74.69 67.37 37.94°
Fractional coordinates of all 12 atoms:
Er 0.2484 0.7516 0.7516
Er 0.2500 0.2500 0.2500
Er 0.7500 0.7500 0.7500
Er 0.7516 0.2484 0.2484
Cu 0.1615 0.1615 0.8385
Cu 0.1615 0.6779 0.3221
Cu 0.3221 0.8385 0.1615
Cu 0.6779 0.1615 0.8385
Cu 0.8385 0.3221 0.6779
Cu 0.8385 0.8385 0.1615
Au 0.3328 0.3328 0.6672
Au 0.6672 0.6672 0.3328

Calculated values
energy of formation from the pure elements: -0.4152 eV per atom
uncorrected energy: -4.53 eV per atom
spin magnetization: 0.00 μB per cell
space-group type: No. 69
ΔE to the lowest computed polymorph: 3 meV per atom